(1)
! Mg2ReAs (PBE, optimized geometry); values from VASP
&SYSTEM
  ibrav = 0, nat = 4, ntyp = 3
/
ATOMIC_SPECIES
Mg 24.30 Mg.upf
Re 186.21 Re.upf
As 74.92 As.upf
CELL_PARAMETERS angstrom
2.938 0.000 0.000
0.000 4.461 0.000
-1.445 0.000 5.300
ATOMIC_POSITIONS crystal
Mg 0.000 0.000 0.000
Mg 0.341 0.500 0.695
Re 0.610 0.500 0.224
As 0.726 0.000 0.458
! * calculated formation energy: 11.6 kJ/mol of atoms

(2)
! MgReAs2 (PBE, optimized geometry); values from VASP
&SYSTEM
  ibrav = 0, nat = 4, ntyp = 3
/
ATOMIC_SPECIES
Mg 24.30 Mg.upf
Re 186.21 Re.upf
As 74.92 As.upf
CELL_PARAMETERS angstrom
1.504 0.868 9.562
-1.504 0.868 9.562
0.000 -1.737 9.562
ATOMIC_POSITIONS crystal
Mg 0.000 0.000 0.000
Re 0.252 0.252 0.252
As 0.522 0.522 0.522
As 0.745 0.745 0.745
! * calculated formation energy: 21.5 kJ/mol of atoms

(3)
! MgRe2As (PBE, optimized geometry); values from VASP
&SYSTEM
  ibrav = 0, nat = 4, ntyp = 3
/
ATOMIC_SPECIES
Mg 24.30 Mg.upf
Re 186.21 Re.upf
As 74.92 As.upf
CELL_PARAMETERS angstrom
1.467 0.847 8.556
-1.467 0.847 8.556
0.000 -1.693 8.556
ATOMIC_POSITIONS crystal
Mg 0.000 0.000 0.000
Re 0.241 0.241 0.241
Re 0.759 0.759 0.759
As 0.500 0.500 0.500
! * calculated formation energy: 39.7 kJ/mol of atoms
! * relative energy among the computed polymorphs: 328 meV per atom

(4)
! MgRe2As (PBE, optimized geometry); values from VASP
&SYSTEM
  ibrav = 0, nat = 4, ntyp = 3
/
ATOMIC_SPECIES
Mg 24.30 Mg.upf
Re 186.21 Re.upf
As 74.92 As.upf
CELL_PARAMETERS angstrom
0.000 3.105 3.105
3.105 0.000 3.105
3.105 3.105 0.000
ATOMIC_POSITIONS crystal
Mg 0.000 0.000 0.000
Re 0.250 0.250 0.250
Re 0.750 0.750 0.750
As 0.500 0.500 0.500
! * calculated formation energy: 56.9 kJ/mol of atoms
! * relative energy among the computed polymorphs: 506 meV per atom

(5)
! Mg2ReAs (PBE, optimized geometry); values from VASP
&SYSTEM
  ibrav = 0, nat = 4, ntyp = 3
/
ATOMIC_SPECIES
Mg 24.30 Mg.upf
Re 186.21 Re.upf
As 74.92 As.upf
CELL_PARAMETERS angstrom
-1.769 2.062 4.505
1.769 -2.062 4.505
1.769 2.062 -4.505
ATOMIC_POSITIONS crystal
Mg 0.248 0.248 0.000
Mg 0.752 0.752 0.000
Re 0.500 0.000 0.500
As 0.000 0.500 0.500
! * calculated formation energy: 24.6 kJ/mol of atoms

(6)
! MgReAs2 (PBE, optimized geometry); values from VASP
&SYSTEM
  ibrav = 0, nat = 4, ntyp = 3
/
ATOMIC_SPECIES
Mg 24.30 Mg.upf
Re 186.21 Re.upf
As 74.92 As.upf
CELL_PARAMETERS angstrom
4.717 0.000 0.000
0.000 1.662 4.486
0.000 -1.662 4.486
ATOMIC_POSITIONS crystal
Mg 0.000 0.000 0.000
Re 0.500 0.609 0.609
As 0.000 0.723 0.723
As 0.500 0.328 0.328
! * calculated formation energy: 4.5 kJ/mol of atoms

(7)
! Mg2ReAs (PBE, optimized geometry); values from VASP
&SYSTEM
  ibrav = 0, nat = 4, ntyp = 3
/
ATOMIC_SPECIES
Mg 24.30 Mg.upf
Re 186.21 Re.upf
As 74.92 As.upf
CELL_PARAMETERS angstrom
0.000 3.215 3.215
3.215 0.000 3.215
3.215 3.215 0.000
ATOMIC_POSITIONS crystal
Mg 0.000 0.000 0.000
Mg 0.250 0.250 0.250
Re 0.500 0.500 0.500
As 0.750 0.750 0.750
! * calculated formation energy: 38.4 kJ/mol of atoms

(8)
! MgReAs2 (PBE, optimized geometry); values from VASP
&SYSTEM
  ibrav = 0, nat = 4, ntyp = 3
/
ATOMIC_SPECIES
Mg 24.30 Mg.upf
Re 186.21 Re.upf
As 74.92 As.upf
CELL_PARAMETERS angstrom
-1.921 1.921 4.547
1.921 -1.921 4.547
1.921 1.921 -4.547
ATOMIC_POSITIONS crystal
Mg 0.000 0.000 0.000
Re 0.250 0.750 0.500
As 0.500 0.500 0.000
As 0.750 0.250 0.500
! * calculated formation energy: 38.8 kJ/mol of atoms

(9)
! Mg4ReAs (PBE, optimized geometry); values from VASP
&SYSTEM
  ibrav = 0, nat = 6, ntyp = 3
/
ATOMIC_SPECIES
Mg 24.30 Mg.upf
Re 186.21 Re.upf
As 74.92 As.upf
CELL_PARAMETERS angstrom
0.000 3.810 3.810
3.810 0.000 3.810
3.810 3.810 0.000
ATOMIC_POSITIONS crystal
Mg 0.124 0.124 0.124
Mg 0.124 0.124 0.629
Mg 0.124 0.629 0.124
Mg 0.629 0.124 0.124
Re 0.750 0.750 0.750
As 0.500 0.500 0.500
! * calculated formation energy: 56.2 kJ/mol of atoms

(10)
! Mg2ReAs (PBE, optimized geometry); values from VASP
&SYSTEM
  ibrav = 0, nat = 4, ntyp = 3
/
ATOMIC_SPECIES
Mg 24.30 Mg.upf
Re 186.21 Re.upf
As 74.92 As.upf
CELL_PARAMETERS angstrom
1.485 0.857 9.043
-1.485 0.857 9.043
0.000 -1.714 9.043
ATOMIC_POSITIONS crystal
Mg 0.249 0.249 0.249
Mg 0.751 0.751 0.751
Re 0.500 0.500 0.500
As 0.000 0.000 0.000
! * calculated formation energy: 19.2 kJ/mol of atoms

(11)
! MgRe2As (PBE, optimized geometry); values from VASP
&SYSTEM
  ibrav = 0, nat = 4, ntyp = 3
/
ATOMIC_SPECIES
Mg 24.30 Mg.upf
Re 186.21 Re.upf
As 74.92 As.upf
CELL_PARAMETERS angstrom
1.454 0.840 8.908
-1.454 0.840 8.908
0.000 -1.679 8.908
ATOMIC_POSITIONS crystal
Mg 0.000 0.000 0.000
Re 0.247 0.247 0.247
Re 0.503 0.503 0.503
As 0.759 0.759 0.759
! * calculated formation energy: 14.1 kJ/mol of atoms
! * relative energy among the computed polymorphs: 62 meV per atom

(12)
! Mg2ReAs (PBE, optimized geometry); values from VASP
&SYSTEM
  ibrav = 0, nat = 4, ntyp = 3
/
ATOMIC_SPECIES
Mg 24.30 Mg.upf
Re 186.21 Re.upf
As 74.92 As.upf
CELL_PARAMETERS angstrom
2.910 0.000 0.000
0.000 3.811 0.000
-0.026 0.000 6.135
ATOMIC_POSITIONS crystal
Mg 0.004 0.000 0.242
Mg 0.996 0.000 0.758
Re 0.500 0.500 0.000
As 0.500 0.500 0.500
! * calculated formation energy: 24.4 kJ/mol of atoms

(13)
! MgRe2As (PBE, optimized geometry); values from VASP
&SYSTEM
  ibrav = 0, nat = 4, ntyp = 3
/
ATOMIC_SPECIES
Mg 24.30 Mg.upf
Re 186.21 Re.upf
As 74.92 As.upf
CELL_PARAMETERS angstrom
2.787 -4.440 0.000
2.787 4.440 0.000
-1.218 0.000 2.530
ATOMIC_POSITIONS crystal
Mg 0.000 0.000 0.000
Re 0.000 0.500 0.500
Re 0.500 0.000 0.500
As 0.500 0.500 0.000
! * calculated formation energy: 47.7 kJ/mol of atoms
! * relative energy among the computed polymorphs: 411 meV per atom

(14)
! MgReAs2 (PBE, optimized geometry); values from VASP
&SYSTEM
  ibrav = 0, nat = 4, ntyp = 3
/
ATOMIC_SPECIES
Mg 24.30 Mg.upf
Re 186.21 Re.upf
As 74.92 As.upf
CELL_PARAMETERS angstrom
2.949 -3.411 0.000
2.949 3.411 0.000
-0.153 0.000 3.253
ATOMIC_POSITIONS crystal
Mg 0.000 0.000 0.000
Re 0.500 0.500 0.000
As 0.000 0.500 0.500
As 0.500 0.000 0.500
! * calculated formation energy: 26.9 kJ/mol of atoms

(15)
! Mg2ReAs (PBE, optimized geometry); values from VASP
&SYSTEM
  ibrav = 0, nat = 4, ntyp = 3
/
ATOMIC_SPECIES
Mg 24.30 Mg.upf
Re 186.21 Re.upf
As 74.92 As.upf
CELL_PARAMETERS angstrom
1.617 -2.527 0.000
1.617 2.527 0.000
0.000 0.000 9.128
ATOMIC_POSITIONS crystal
Mg 0.000 0.000 0.000
Mg 0.500 0.500 0.287
Re 0.500 0.500 0.756
As 0.000 0.000 0.554
! * calculated formation energy: 26.3 kJ/mol of atoms

(16)
! MgScRe2As (PBE, optimized geometry); values from VASP
&SYSTEM
  ibrav = 0, nat = 5, ntyp = 4
/
ATOMIC_SPECIES
Mg 24.30 Mg.upf
Sc 44.96 Sc.upf
Re 186.21 Re.upf
As 74.92 As.upf
CELL_PARAMETERS angstrom
4.586 0.000 0.000
0.000 4.586 0.000
0.000 0.000 4.814
ATOMIC_POSITIONS crystal
Mg 0.000 0.000 0.000
Sc 0.000 0.000 0.500
Re 0.000 0.500 0.000
Re 0.500 0.000 0.000
As 0.500 0.500 0.500
! * calculated formation energy: 177.0 kJ/mol of atoms

(17)
! MgReTc2As (PBE, optimized geometry); values from VASP
&SYSTEM
  ibrav = 0, nat = 5, ntyp = 4
/
ATOMIC_SPECIES
Mg 24.30 Mg.upf
Re 186.21 Re.upf
Tc 98.00 Tc.upf
As 74.92 As.upf
CELL_PARAMETERS angstrom
4.533 0.000 0.000
0.000 4.533 0.000
0.000 0.000 4.554
ATOMIC_POSITIONS crystal
Mg 0.000 0.000 0.000
Re 0.500 0.500 0.000
Tc 0.000 0.500 0.500
Tc 0.500 0.000 0.500
As 0.000 0.000 0.500
! * calculated formation energy: 132.0 kJ/mol of atoms

(18)
! Mg2ReTeAs (PBE, optimized geometry); values from VASP
&SYSTEM
  ibrav = 0, nat = 5, ntyp = 4
/
ATOMIC_SPECIES
Mg 24.30 Mg.upf
Re 186.21 Re.upf
Te 127.60 Te.upf
As 74.92 As.upf
CELL_PARAMETERS angstrom
5.263 0.000 0.000
0.000 5.263 0.000
0.000 0.000 4.635
ATOMIC_POSITIONS crystal
Mg 0.000 0.500 0.000
Mg 0.500 0.000 0.000
Re 0.000 0.000 0.000
Te 0.500 0.500 0.500
As 0.000 0.000 0.500
! * raw formation energy: 381 meV/atom

(19)
! Y2MgReAs (PBE, optimized geometry); values from VASP
&SYSTEM
  ibrav = 0, nat = 5, ntyp = 4
/
ATOMIC_SPECIES
Y 88.91 Y.upf
Mg 24.30 Mg.upf
Re 186.21 Re.upf
As 74.92 As.upf
CELL_PARAMETERS angstrom
5.261 0.000 0.000
0.000 5.261 0.000
0.000 0.000 4.987
ATOMIC_POSITIONS crystal
Y 0.000 0.500 0.000
Y 0.500 0.000 0.000
Mg 0.000 0.000 0.500
Re 0.000 0.000 0.000
As 0.500 0.500 0.500
! * calculated formation energy: 33.3 kJ/mol of atoms

(20)
! Mg2ZrReAs (PBE, optimized geometry); values from VASP
&SYSTEM
  ibrav = 0, nat = 5, ntyp = 4
/
ATOMIC_SPECIES
Mg 24.30 Mg.upf
Zr 91.22 Zr.upf
Re 186.21 Re.upf
As 74.92 As.upf
CELL_PARAMETERS angstrom
4.702 0.000 0.000
0.000 4.702 0.000
0.000 0.000 5.120
ATOMIC_POSITIONS crystal
Mg 0.000 0.500 0.000
Mg 0.500 0.000 0.000
Zr 0.000 0.000 0.500
Re 0.500 0.500 0.500
As 0.000 0.000 0.000
! * calculated formation energy: 76.7 kJ/mol of atoms